DFT (PBE) results for a geometry-optimized ScP2PdO structure. Values from VASP.

Values from the calculation:
- Energy above the most stable polymorph in this dataset: 15 meV/atom
- Formation energy without anion corrections: -0.0694 eV per atom

```
&SYSTEM
  ibrav = 0, nat = 5, ntyp = 4
/
ATOMIC_SPECIES
Sc 44.96 Sc.upf
P 30.97 P.upf
Pd 106.42 Pd.upf
O 16.00 O.upf
CELL_PARAMETERS angstrom
4.722 0.000 0.000
0.000 4.722 0.000
0.000 0.000 3.903
ATOMIC_POSITIONS angstrom
Sc 0.000 0.000 0.000
P 0.000 2.361 1.952
P 2.361 0.000 1.952
Pd 2.361 2.361 1.952
O 2.361 2.361 0.000
```

DFT (PBE) results for a geometry-optimized KAl2Se2 structure. Values from VASP.

Values from the calculation:
- Energy above the most stable polymorph in this dataset: 210 meV/atom
- Formation energy without anion corrections: -0.3741 eV per atom

```
&SYSTEM
  ibrav = 0, nat = 5, ntyp = 3
/
ATOMIC_SPECIES
K 39.10 K.upf
Al 26.98 Al.upf
Se 78.96 Se.upf
CELL_PARAMETERS angstrom
-2.504 2.504 6.024
2.504 -2.504 6.024
2.504 2.504 -6.024
ATOMIC_POSITIONS angstrom
K 0.000 0.000 0.000
Al 2.504 0.000 3.012
Al 0.000 2.504 3.012
Se 0.000 0.000 3.958
Se 0.000 0.000 8.089
```

DFT (PBE) results for a geometry-optimized Hg2PbF8 structure. Values from VASP.

Values from the calculation:
- Formation energy without anion corrections: -1.5804 eV per atom

```
&SYSTEM
  ibrav = 0, nat = 11, ntyp = 3
/
ATOMIC_SPECIES
Hg 200.59 Hg.upf
Pb 207.20 Pb.upf
F 19.00 F.upf
CELL_PARAMETERS angstrom
7.076 -2.009 0.000
7.076 2.009 0.000
-1.460 0.000 5.265
ATOMIC_POSITIONS angstrom
Hg 2.299 0.000 0.976
Hg 10.392 0.000 4.289
Pb 6.346 0.000 2.632
F 0.033 0.000 1.665
F 1.988 0.000 4.285
F 4.163 0.000 2.894
F 5.736 0.000 0.633
F 6.955 0.000 4.632
F 8.528 0.000 2.371
F 10.703 0.000 0.980
F 12.658 0.000 3.600
```

DFT (PBE) results for a geometry-optimized KCoAg2Rh structure. Values from VASP.

Values from the calculation:
- DFT formation energy: 1.978 eV/atom

```
&SYSTEM
  ibrav = 0, nat = 5, ntyp = 4
/
ATOMIC_SPECIES
K 39.10 K.upf
Co 58.93 Co.upf
Ag 107.87 Ag.upf
Rh 102.91 Rh.upf
CELL_PARAMETERS angstrom
5.210 0.000 0.000
0.000 5.210 0.000
0.000 0.000 4.730
ATOMIC_POSITIONS angstrom
K 0.000 0.000 0.000
Co 2.605 2.605 2.365
Ag 0.000 2.605 0.000
Ag 2.605 0.000 0.000
Rh 0.000 0.000 2.365
```

DFT (PBE) results for a geometry-optimized RbSbPd3 structure. Values from VASP.

Values from the calculation:
- Energy above the most stable polymorph in this dataset: 0 meV/atom
- Formation energy without anion corrections: -0.2548 eV per atom

```
&SYSTEM
  ibrav = 0, nat = 10, ntyp = 3
/
ATOMIC_SPECIES
Rb 85.47 Rb.upf
Sb 121.76 Sb.upf
Pd 106.42 Pd.upf
CELL_PARAMETERS angstrom
4.162 0.000 0.000
0.000 6.873 0.000
0.000 0.000 8.396
ATOMIC_POSITIONS angstrom
Rb 1.041 1.718 0.077
Rb 3.122 5.155 8.319
Sb 1.041 1.718 3.669
Sb 3.122 5.155 4.727
Pd 1.041 3.663 5.530
Pd 1.041 5.155 2.886
Pd 1.041 6.646 5.530
Pd 3.122 0.227 2.866
Pd 3.122 1.718 5.510
Pd 3.122 3.210 2.866
```

DFT (PBE) results for a geometry-optimized Ba4AcTe5 structure. Values from VASP.

Values from the calculation:
- Energy above the most stable polymorph in this dataset: 0 meV/atom
- Formation energy without anion corrections: -1.7250 eV per atom

```
&SYSTEM
  ibrav = 0, nat = 10, ntyp = 3
/
ATOMIC_SPECIES
Ba 137.33 Ba.upf
Ac 227.00 Ac.upf
Te 127.60 Te.upf
CELL_PARAMETERS angstrom
-5.518 5.518 3.487
5.518 -5.518 3.487
5.518 5.518 -3.487
ATOMIC_POSITIONS angstrom
Ba 7.710 1.069 0.000
Ba 1.069 3.326 0.000
Ba 4.449 2.192 3.487
Ba -2.192 4.449 3.487
Ac 0.000 0.000 3.487
Te 0.000 0.000 0.000
Te 4.442 2.324 0.000
Te 3.194 -1.075 3.487
Te 2.324 6.593 0.000
Te 1.075 3.194 3.487
```

DFT (PBE) results for a geometry-optimized PrSmDy2Sb4 structure. Values from VASP.

Values from the calculation:
- Formation energy without anion corrections: -1.1546 eV per atom

```
&SYSTEM
  ibrav = 0, nat = 8, ntyp = 4
/
ATOMIC_SPECIES
Pr 140.91 Pr.upf
Sm 150.36 Sm.upf
Dy 162.50 Dy.upf
Sb 121.76 Sb.upf
CELL_PARAMETERS angstrom
7.704 0.000 0.000
0.000 4.454 0.000
-2.572 0.000 7.268
ATOMIC_POSITIONS angstrom
Pr 0.000 0.000 0.000
Sm -1.286 2.227 3.634
Dy 2.566 0.000 3.634
Dy 3.852 2.227 0.000
Sb 0.054 0.000 5.452
Sb 1.340 2.227 1.857
Sb 3.792 2.227 5.411
Sb 5.077 0.000 1.816
```

DFT (PBE) results for a geometry-optimized Rb2CdInI6 structure. Values from VASP.

Values from the calculation:
- Formation energy without anion corrections: -0.8728 eV per atom

```
&SYSTEM
  ibrav = 0, nat = 10, ntyp = 4
/
ATOMIC_SPECIES
Rb 85.47 Rb.upf
Cd 112.41 Cd.upf
In 114.82 In.upf
I 126.90 I.upf
CELL_PARAMETERS angstrom
-4.282 4.282 6.079
4.282 -4.282 6.079
4.282 4.282 -6.079
ATOMIC_POSITIONS angstrom
Rb 4.282 0.000 3.039
Rb 0.000 4.282 3.039
Cd 0.000 0.000 0.000
In 0.000 0.000 6.079
I 0.000 0.000 3.019
I 2.126 2.126 0.000
I 2.156 -2.156 6.079
I -2.156 2.156 6.079
I 0.000 0.000 9.138
I 2.156 2.156 6.079
```

DFT (PBE) results for a geometry-optimized Nd6Dy2Y3Er structure. Values from VASP.

Values from the calculation:
- DFT formation energy: 0.010 eV/atom

```
&SYSTEM
  ibrav = 0, nat = 12, ntyp = 4
/
ATOMIC_SPECIES
Nd 144.24 Nd.upf
Dy 162.50 Dy.upf
Y 88.91 Y.upf
Er 167.26 Er.upf
CELL_PARAMETERS angstrom
3.141 -5.440 0.000
3.141 5.440 0.000
-2.087 0.000 11.685
ATOMIC_POSITIONS angstrom
Nd 0.004 1.812 8.779
Nd 1.052 0.000 2.907
Nd 0.004 -1.812 8.779
Nd 4.191 1.812 2.905
Nd 3.143 0.000 8.777
Nd 4.191 -1.812 2.905
Dy 3.141 3.627 0.000
Dy 3.141 -3.627 0.000
Y -1.044 0.000 5.842
Y 2.098 1.813 5.842
Y 2.098 -1.813 5.842
Er 3.141 0.000 0.000
```

DFT (PBE) results for a geometry-optimized ThAlNiPd structure. Values from VASP.

Values from the calculation:
- DFT formation energy: -0.541 eV/atom
- Energy above the most stable polymorph in this dataset: 163 meV/atom

```
&SYSTEM
  ibrav = 0, nat = 4, ntyp = 4
/
ATOMIC_SPECIES
Th 232.04 Th.upf
Al 26.98 Al.upf
Ni 58.69 Ni.upf
Pd 106.42 Pd.upf
CELL_PARAMETERS angstrom
0.000 3.357 3.357
3.357 0.000 3.357
3.357 3.357 0.000
ATOMIC_POSITIONS angstrom
Th 0.000 0.000 0.000
Al 3.357 3.357 3.357
Ni 5.036 5.036 5.036
Pd 1.679 1.679 1.679
```

DFT (PBE) results for a geometry-optimized Ac7Tb4Pr structure. Values from VASP.

Values from the calculation:
- DFT formation energy: 0.125 eV/atom

```
&SYSTEM
  ibrav = 0, nat = 12, ntyp = 3
/
ATOMIC_SPECIES
Ac 227.00 Ac.upf
Tb 158.93 Tb.upf
Pr 140.91 Pr.upf
CELL_PARAMETERS angstrom
7.024 0.000 0.000
-0.645 7.070 0.000
-2.378 -0.343 9.718
ATOMIC_POSITIONS angstrom
Ac 0.000 0.000 0.000
Ac -0.244 2.366 5.776
Ac 0.656 5.760 3.616
Ac 1.041 1.426 9.117
Ac 2.960 5.301 0.601
Ac 3.345 0.967 6.102
Ac 4.245 4.361 3.942
Tb -1.094 5.760 6.926
Tb 1.676 2.220 2.637
Tb 2.325 4.507 7.081
Tb 5.095 0.967 2.793
Pr -0.322 3.535 0.000
```

DFT (PBE) results for a geometry-optimized CeSc2ReO8 structure. Values from VASP.

Values from the calculation:
- Formation energy without anion corrections: -2.7847 eV per atom

```
&SYSTEM
  ibrav = 0, nat = 12, ntyp = 4
/
ATOMIC_SPECIES
Ce 140.12 Ce.upf
Sc 44.96 Sc.upf
Re 186.21 Re.upf
O 16.00 O.upf
CELL_PARAMETERS angstrom
3.427 -3.446 0.000
3.427 3.446 0.000
0.000 0.000 6.586
ATOMIC_POSITIONS angstrom
Ce 0.000 0.000 0.000
Sc 3.427 0.000 1.643
Sc 3.427 0.000 4.943
Re 0.000 0.000 3.293
O 3.427 2.095 1.879
O 3.427 2.095 4.707
O 1.902 0.000 3.293
O 2.161 0.000 0.000
O 4.692 0.000 0.000
O 4.951 0.000 3.293
O 3.427 -2.095 1.879
O 3.427 -2.095 4.707
```

DFT (PBE) results for a geometry-optimized TlCdPt2 structure. Values from VASP.

Values from the calculation:
- DFT formation energy: -0.081 eV/atom

```
&SYSTEM
  ibrav = 0, nat = 4, ntyp = 3
/
ATOMIC_SPECIES
Tl 204.38 Tl.upf
Cd 112.41 Cd.upf
Pt 195.08 Pt.upf
CELL_PARAMETERS angstrom
5.309 -1.495 0.000
5.309 1.495 0.000
-1.214 0.000 4.767
ATOMIC_POSITIONS angstrom
Tl 0.000 0.000 0.000
Cd 7.953 0.000 1.851
Pt 1.624 0.000 4.149
Pt 5.144 0.000 2.453
```

DFT (PBE) results for a geometry-optimized Sc3BiC structure. Values from VASP.

Values from the calculation:
- DFT formation energy: -0.537 eV/atom

```
&SYSTEM
  ibrav = 0, nat = 10, ntyp = 3
/
ATOMIC_SPECIES
Sc 44.96 Sc.upf
Bi 208.98 Bi.upf
C 12.01 C.upf
CELL_PARAMETERS angstrom
8.011 -1.700 0.000
8.011 1.700 0.000
-0.766 0.000 7.640
ATOMIC_POSITIONS angstrom
Sc 0.678 0.000 1.703
Sc 3.716 0.000 5.172
Sc 6.186 0.000 3.424
Sc 9.068 0.000 4.216
Sc 11.538 0.000 2.468
Sc 14.577 0.000 5.937
Bi 5.871 0.000 0.510
Bi 9.383 0.000 7.130
C 2.276 0.000 3.300
C 12.979 0.000 4.340
```

DFT (PBE) results for a geometry-optimized Cu2SbAu structure. Values from VASP.

Values from the calculation:
- Formation energy without anion corrections: 0.0878 eV per atom

```
&SYSTEM
  ibrav = 0, nat = 4, ntyp = 3
/
ATOMIC_SPECIES
Cu 63.55 Cu.upf
Sb 121.76 Sb.upf
Au 196.97 Au.upf
CELL_PARAMETERS angstrom
3.272 0.000 0.000
0.000 3.527 0.000
0.000 0.000 5.819
ATOMIC_POSITIONS angstrom
Cu 0.000 0.000 1.345
Cu 0.000 0.000 4.474
Sb 1.636 1.764 2.910
Au 1.636 1.764 0.000
```

DFT (PBE) results for a geometry-optimized KTeP2Cl structure. Values from VASP.

Values from the calculation:
- Energy above the most stable polymorph in this dataset: 981 meV/atom
- Formation energy without anion corrections: 1.1502 eV per atom

```
&SYSTEM
  ibrav = 0, nat = 5, ntyp = 4
/
ATOMIC_SPECIES
K 39.10 K.upf
Te 127.60 Te.upf
P 30.97 P.upf
Cl 35.45 Cl.upf
CELL_PARAMETERS angstrom
6.189 0.000 0.000
0.000 6.189 0.000
0.000 0.000 5.396
ATOMIC_POSITIONS angstrom
K 0.000 0.000 0.000
Te 3.095 3.095 2.698
P 0.000 3.095 0.000
P 3.095 0.000 0.000
Cl 0.000 0.000 2.698
```

DFT (PBE) results for a geometry-optimized LiZrSe2 structure. Values from VASP.

Values from the calculation:
- Formation energy without anion corrections: -0.2025 eV per atom

```
&SYSTEM
  ibrav = 0, nat = 4, ntyp = 3
/
ATOMIC_SPECIES
Li 6.94 Li.upf
Zr 91.22 Zr.upf
Se 78.96 Se.upf
CELL_PARAMETERS angstrom
0.000 3.383 3.383
3.383 0.000 3.383
3.383 3.383 0.000
ATOMIC_POSITIONS angstrom
Li 0.000 0.000 0.000
Zr 1.691 1.691 1.691
Se 3.383 3.383 3.383
Se 5.074 5.074 5.074
```

DFT (PBE) results for a geometry-optimized TcOs structure. Values from VASP.

Values from the calculation:
- DFT formation energy: 0.540 eV/atom
- Energy above the most stable polymorph in this dataset: 626 meV/atom

```
&SYSTEM
  ibrav = 0, nat = 4, ntyp = 2
/
ATOMIC_SPECIES
Tc 98.00 Tc.upf
Os 190.23 Os.upf
CELL_PARAMETERS angstrom
0.000 3.090 3.090
3.090 0.000 3.090
3.090 3.090 0.000
ATOMIC_POSITIONS angstrom
Tc 0.773 0.773 0.773
Tc 5.408 5.408 5.408
Os 2.318 2.318 2.318
Os 3.863 3.863 3.863
```

DFT (PBE) results for a geometry-optimized LiBeP2 structure. Values from VASP.

Values from the calculation:
- DFT formation energy: -0.026 eV/atom

```
&SYSTEM
  ibrav = 0, nat = 4, ntyp = 3
/
ATOMIC_SPECIES
Li 6.94 Li.upf
Be 9.01 Be.upf
P 30.97 P.upf
CELL_PARAMETERS angstrom
3.208 0.000 0.000
0.000 3.208 0.000
0.000 0.000 5.376
ATOMIC_POSITIONS angstrom
Li 0.000 0.000 0.000
Be 0.000 0.000 2.688
P 1.604 1.604 1.635
P 1.604 1.604 3.741
```

DFT (PBE) results for a geometry-optimized Dy4Ho3ErS8 structure. Values from VASP.

Values from the calculation:
- Formation energy without anion corrections: -1.9769 eV per atom

```
&SYSTEM
  ibrav = 0, nat = 16, ntyp = 4
/
ATOMIC_SPECIES
Dy 162.50 Dy.upf
Ho 164.93 Ho.upf
Er 167.26 Er.upf
S 32.06 S.upf
CELL_PARAMETERS angstrom
3.891 2.246 6.361
-3.891 2.246 6.361
0.000 -4.493 6.361
ATOMIC_POSITIONS angstrom
Dy 0.000 0.000 0.000
Dy -1.945 -1.123 6.361
Dy -1.945 1.123 12.722
Dy 0.000 2.246 6.361
Ho -3.891 0.000 9.541
Ho -1.945 1.123 3.180
Ho 1.945 1.123 3.180
Er 0.000 0.000 9.541
S 0.000 0.000 4.757
S -1.940 -1.120 11.113
S 0.000 -2.240 7.970
S -1.940 1.120 7.970
S 1.940 -1.120 11.113
S 0.000 2.240 11.113
S 1.940 1.120 7.970
S 0.000 0.000 14.326
```

DFT (PBE) results for a geometry-optimized InAg6Hg2 structure. Values from VASP.

Values from the calculation:
- DFT formation energy: 0.062 eV/atom
- Energy above the most stable polymorph in this dataset: 5 meV/atom

```
&SYSTEM
  ibrav = 0, nat = 18, ntyp = 3
/
ATOMIC_SPECIES
In 114.82 In.upf
Ag 107.87 Ag.upf
Hg 200.59 Hg.upf
CELL_PARAMETERS angstrom
4.498 -4.879 0.000
4.498 4.879 0.000
-2.999 0.000 8.140
ATOMIC_POSITIONS angstrom
In 2.249 3.389 6.105
In 3.748 -3.389 2.035
Ag 3.750 3.785 0.589
Ag 0.759 1.103 4.657
Ag 3.746 3.785 3.481
Ag 0.761 1.107 7.536
Ag 2.259 -1.103 0.587
Ag 3.736 1.107 4.674
Ag 2.260 -1.107 3.466
Ag 3.738 1.103 7.553
Ag 5.236 -1.107 0.604
Ag 2.250 -3.785 4.659
Ag 5.237 -1.103 3.483
Ag 2.247 -3.785 7.551
Hg 2.262 1.535 2.027
Hg 0.763 -1.535 6.097
Hg 5.234 1.535 2.043
Hg 3.734 -1.535 6.113
```

DFT (PBE) results for a geometry-optimized BaCaTlGe structure. Values from VASP.

Values from the calculation:
- DFT formation energy: -0.377 eV/atom

```
&SYSTEM
  ibrav = 0, nat = 4, ntyp = 4
/
ATOMIC_SPECIES
Ba 137.33 Ba.upf
Ca 40.08 Ca.upf
Tl 204.38 Tl.upf
Ge 72.64 Ge.upf
CELL_PARAMETERS angstrom
0.000 3.994 3.994
3.994 0.000 3.994
3.994 3.994 0.000
ATOMIC_POSITIONS angstrom
Ba 0.000 0.000 0.000
Ca 3.994 3.994 3.994
Tl 5.990 5.990 5.990
Ge 1.997 1.997 1.997
```

DFT (PBE) results for a geometry-optimized TcAg2Ru structure. Values from VASP.

Values from the calculation:
- DFT formation energy: 0.617 eV/atom
- Energy above the most stable polymorph in this dataset: 386 meV/atom

```
&SYSTEM
  ibrav = 0, nat = 4, ntyp = 3
/
ATOMIC_SPECIES
Tc 98.00 Tc.upf
Ag 107.87 Ag.upf
Ru 101.07 Ru.upf
CELL_PARAMETERS angstrom
2.871 0.000 0.000
0.000 4.524 0.000
0.000 0.000 4.939
ATOMIC_POSITIONS angstrom
Tc 0.000 0.000 0.000
Ag 0.000 2.262 2.469
Ag 1.435 0.000 2.469
Ru 1.435 2.262 0.000
```

DFT (PBE) results for a geometry-optimized Hf6PS structure. Values from VASP.

Values from the calculation:
- Formation energy without anion corrections: -0.5496 eV per atom

```
&SYSTEM
  ibrav = 0, nat = 8, ntyp = 3
/
ATOMIC_SPECIES
Hf 178.49 Hf.upf
P 30.97 P.upf
S 32.06 S.upf
CELL_PARAMETERS angstrom
2.945 1.700 5.636
-2.945 1.700 5.636
0.000 -3.400 5.636
ATOMIC_POSITIONS angstrom
Hf -2.018 -0.106 7.056
Hf -0.917 -1.801 9.851
Hf 1.101 -1.695 7.056
Hf -1.101 1.695 9.851
Hf 0.917 1.801 7.056
Hf 2.018 0.106 9.851
P 0.000 0.000 0.000
S 0.000 0.000 8.453
```

no.,size of the total moment (μB per formula unit)
1,0.0
2,0.0
3,0.0
4,2.2
5,0.0
6,0.0
7,0.0
8,0.0
9,0.0
10,0.0
11,0.0
12,1.1
13,0.0
14,0.0
15,0.0
16,3.8
17,1.0
18,0.0
19,0.0
20,0.0
21,0.0
22,0.0
23,0.0
24,0.0